Entry 1:
Density functional theory data (PBE) for ReTeAs2 after structural relaxation.

ΔE_f (raw), eV per atom: 0.966
DOS(E_F), states/eV per atom: 0.986

Cell and atoms, written as CIF:
```
data_ReTeAs2
_cell_length_a 4.9043
_cell_length_b 3.9695
_cell_length_c 3.9695
_cell_angle_alpha 90.00
_cell_angle_beta 90.00
_cell_angle_gamma 90.00
_symmetry_space_group_name_H-M 'P 1'
_symmetry_Int_Tables_number 1
_symmetry_space_group_name_Hall 'P 1'
loop_
_atom_site_label
_atom_site_type_symbol
_atom_site_fract_x
_atom_site_fract_y
_atom_site_fract_z
_atom_site_occupancy
As1 As 0.0000 0.5000 0.5000 1
Te1 Te 0.5000 0.0000 0.5000 1
As2 As 0.0000 0.0000 0.0000 1
Re1 Re 0.5000 0.5000 0.0000 1
```

Entry 2:
Density functional theory data (PBE) for ReTeAs2 after structural relaxation.

ΔE_f (raw), eV per atom: 0.479
DOS(E_F), states/eV per atom: 0.755

Cell and atoms, written as CIF:
```
data_ReTeAs2
_cell_length_a 6.2615
_cell_length_b 6.2615
_cell_length_c 6.2615
_cell_angle_alpha 150.69
_cell_angle_beta 133.75
_cell_angle_gamma 55.71
_symmetry_space_group_name_H-M 'P 1'
_symmetry_Int_Tables_number 1
_symmetry_space_group_name_Hall 'P 1'
loop_
_atom_site_label
_atom_site_type_symbol
_atom_site_fract_x
_atom_site_fract_y
_atom_site_fract_z
_atom_site_occupancy
As1 As 0.9307 0.9307 0.0000 1
Re1 Re 0.7500 0.2500 0.5000 1
Te1 Te 0.2500 0.7500 0.5000 1
As2 As 0.5693 0.5693 0.0000 1
```

Entry 3:
Density functional theory data (PBE) for ReTeAs2 after structural relaxation.

ΔE_f (raw), eV per atom: 0.901
DOS(E_F), states/eV per atom: 0.935

Cell and atoms, written as CIF:
```
data_ReTeAs2
_cell_length_a 5.1264
_cell_length_b 5.1264
_cell_length_c 3.2828
_cell_angle_alpha 90.00
_cell_angle_beta 90.00
_cell_angle_gamma 116.84
_symmetry_space_group_name_H-M 'P 1'
_symmetry_Int_Tables_number 1
_symmetry_space_group_name_Hall 'P 1'
loop_
_atom_site_label
_atom_site_type_symbol
_atom_site_fract_x
_atom_site_fract_y
_atom_site_fract_z
_atom_site_occupancy
As1 As 0.0000 0.0000 0.0000 1
Te1 Te 0.0000 0.5000 0.5000 1
As2 As 0.5000 0.5000 0.0000 1
Re1 Re 0.5000 0.0000 0.5000 1
```

Entry 4:
Density functional theory data (PBE) for ReTe2As after structural relaxation.

ΔE_f (raw), eV per atom: 0.789
DOS(E_F), states/eV per atom: 0.868

Cell and atoms, written as CIF:
```
data_ReTe2As
_cell_length_a 4.8937
_cell_length_b 4.8932
_cell_length_c 4.8933
_cell_angle_alpha 72.31
_cell_angle_beta 69.63
_cell_angle_gamma 110.37
_symmetry_space_group_name_H-M 'P 1'
_symmetry_Int_Tables_number 1
_symmetry_space_group_name_Hall 'P 1'
loop_
_atom_site_label
_atom_site_type_symbol
_atom_site_fract_x
_atom_site_fract_y
_atom_site_fract_z
_atom_site_occupancy
As1 As 0.5000 0.5000 0.0000 1
Te1 Te 0.0000 0.5000 0.5000 1
Re1 Re 0.5000 0.0000 0.5000 1
Te2 Te 0.0000 0.0000 0.0000 1
```

Entry 5:
Density functional theory data (PBE) for ReTe2As after structural relaxation.

ΔE_f (raw), eV per atom: 0.531
DOS(E_F), states/eV per atom: 0.967

Cell and atoms, written as CIF:
```
data_ReTe2As
_cell_length_a 3.9152
_cell_length_b 3.9152
_cell_length_c 7.9048
_cell_angle_alpha 84.11
_cell_angle_beta 84.11
_cell_angle_gamma 49.64
_symmetry_space_group_name_H-M 'P 1'
_symmetry_Int_Tables_number 1
_symmetry_space_group_name_Hall 'P 1'
loop_
_atom_site_label
_atom_site_type_symbol
_atom_site_fract_x
_atom_site_fract_y
_atom_site_fract_z
_atom_site_occupancy
Te1 Te 0.5300 0.5300 0.4607 1
Te2 Te 0.9700 0.9700 0.0393 1
As1 As 0.7500 0.7500 0.7500 1
Re1 Re 0.2500 0.2500 0.2500 1
```

Entry 6:
Density functional theory data (PBE) for ReTeAs2 after structural relaxation.

ΔE_f (raw), eV per atom: 0.380
DOS(E_F), states/eV per atom: 0.719

Cell and atoms, written as CIF:
```
data_ReTeAs2
_cell_length_a 6.9844
_cell_length_b 6.9844
_cell_length_c 6.9844
_cell_angle_alpha 153.79
_cell_angle_beta 144.91
_cell_angle_gamma 44.32
_symmetry_space_group_name_H-M 'P 1'
_symmetry_Int_Tables_number 1
_symmetry_space_group_name_Hall 'P 1'
loop_
_atom_site_label
_atom_site_type_symbol
_atom_site_fract_x
_atom_site_fract_y
_atom_site_fract_z
_atom_site_occupancy
Te1 Te 0.3199 0.8199 0.5000 1
As1 As 0.0289 0.0289 0.0000 1
As2 As 0.6574 0.1574 0.5000 1
Re1 Re 0.4938 0.4938 0.0000 1
```

Entry 7:
Density functional theory data (PBE) for ReTeAs2 after structural relaxation.

ΔE_f (raw), eV per atom: 0.711
DOS(E_F), states/eV per atom: 0.395

Cell and atoms, written as CIF:
```
data_ReTeAs2
_cell_length_a 4.6842
_cell_length_b 4.6843
_cell_length_c 4.6867
_cell_angle_alpha 119.64
_cell_angle_beta 119.64
_cell_angle_gamma 90.05
_symmetry_space_group_name_H-M 'P 1'
_symmetry_Int_Tables_number 1
_symmetry_space_group_name_Hall 'P 1'
loop_
_atom_site_label
_atom_site_type_symbol
_atom_site_fract_x
_atom_site_fract_y
_atom_site_fract_z
_atom_site_occupancy
As1 As 0.2496 0.7504 0.5000 1
Te1 Te 0.7489 0.2511 0.5000 1
As2 As 0.0059 0.9941 0.0000 1
Re1 Re 0.4956 0.5044 0.0000 1
```

Entry 8:
Density functional theory data (PBE) for ReTeAs2 after structural relaxation.

ΔE_f (raw), eV per atom: 0.409
DOS(E_F), states/eV per atom: 0.841

Cell and atoms, written as CIF:
```
data_ReTeAs2
_cell_length_a 2.9864
_cell_length_b 2.9864
_cell_length_c 10.3444
_cell_angle_alpha 90.00
_cell_angle_beta 90.00
_cell_angle_gamma 111.27
_symmetry_space_group_name_H-M 'P 1'
_symmetry_Int_Tables_number 1
_symmetry_space_group_name_Hall 'P 1'
loop_
_atom_site_label
_atom_site_type_symbol
_atom_site_fract_x
_atom_site_fract_y
_atom_site_fract_z
_atom_site_occupancy
Re1 Re 0.5000 0.5000 0.2500 1
Te1 Te 0.5000 0.5000 0.7500 1
As1 As 0.0000 0.0000 0.4353 1
As2 As 0.0000 0.0000 0.0647 1
```

no.,total moment (Bohr magnetons per cell),E_tot (eV per cell)
1,0.0,-21.0
2,0.0,-23.0
3,0.0,-21.3
4,0.9,-20.2
5,0.0,-21.3
6,0.0,-23.4
7,0.0,-22.0
8,0.0,-23.3